[1]
VASP calculation (GGA-PBE) on a relaxed TmZr crystal.

```
TmZr
1.0
8.772 -1.690 0.000
0.000 6.760 0.000
0.000 0.000 5.310
Tm Zr
6 6
direct
0.341 0.326 0.000 Tm
0.990 0.498 0.000 Tm
0.339 0.844 0.000 Tm
0.883 0.212 0.500 Tm
0.232 0.558 0.500 Tm
0.881 0.730 0.500 Tm
0.002 0.003 0.000 Zr
0.669 0.159 0.000 Zr
0.661 0.673 0.000 Zr
0.220 0.053 0.500 Zr
0.561 0.383 0.500 Zr
0.553 0.896 0.500 Zr
```

## Properties
SG: P2_1/m (11)
Energy above the lowest structure with this stoichiometry in eV/f.u.: 0.06

***

[2]
VASP calculation (GGA-PBE) on a relaxed TmZr2 crystal.

```
TmZr2
1.0
-1.624 1.624 7.117
1.624 -1.624 7.117
1.624 1.624 -7.117
Tm Zr
1 2
direct
0.000 0.000 0.000 Tm
0.327 0.327 0.000 Zr
0.673 0.673 0.000 Zr
```

## Properties
SG: I4/mmm (139)

***

[3]
VASP calculation (GGA-PBE) on a relaxed TmZr crystal.

```
TmZr
1.0
2.916 5.051 0.000
-5.884 6.764 0.000
0.000 0.000 5.309
Tm Zr
5 5
direct
0.813 0.394 0.000 Tm
0.193 0.600 0.000 Tm
0.607 0.806 0.000 Tm
0.467 0.390 0.500 Tm
0.257 0.810 0.500 Tm
0.983 0.015 0.000 Zr
0.398 0.185 0.000 Zr
0.673 0.007 0.500 Zr
0.079 0.193 0.500 Zr
0.863 0.600 0.500 Zr
```

## Properties
SG: Amm2 (38)
Energy above the lowest structure with this stoichiometry in eV/f.u.: 0.04

***

[4]
VASP calculation (GGA-PBE) on a relaxed TmZr2 crystal.

```
TmZr2
1.0
2.888 5.002 0.000
-2.888 5.002 0.000
0.000 0.000 5.228
Tm Zr
2 4
direct
0.000 0.000 0.000 Tm
0.333 0.333 0.000 Tm
0.667 0.667 0.000 Zr
0.985 0.348 0.500 Zr
0.348 0.667 0.500 Zr
0.667 0.985 0.500 Zr
```

## Properties
SG: P-62m (189)

***

[5]
VASP calculation (GGA-PBE) on a relaxed TmZr2 crystal.

```
TmZr2
1.0
-3.164 2.296 16.778
1.970 -2.580 0.725
4.124 3.243 0.334
Tm Zr
4 8
direct
0.334 0.000 0.000 Tm
0.834 0.500 0.000 Tm
0.111 0.000 0.500 Tm
0.611 0.500 0.500 Tm
0.002 0.000 0.000 Zr
0.667 0.000 0.000 Zr
0.167 0.500 0.000 Zr
0.502 0.500 0.000 Zr
0.442 0.000 0.500 Zr
0.778 0.000 0.500 Zr
0.278 0.500 0.500 Zr
0.942 0.500 0.500 Zr
```

## Properties
SG: Cmcm (63)

***

[6]
VASP calculation (GGA-PBE) on a relaxed TmZr crystal.

```
TmZr
1.0
5.849 0.000 0.000
0.000 6.845 0.000
0.000 0.000 5.277
Tm Zr
4 4
direct
0.994 0.000 0.000 Tm
0.347 0.000 0.500 Tm
0.829 0.264 0.500 Tm
0.829 0.736 0.500 Tm
0.493 0.275 0.000 Zr
0.023 0.500 0.000 Zr
0.493 0.725 0.000 Zr
0.325 0.500 0.500 Zr
```

## Properties
SG: Pmm2 (25)
Energy above the lowest structure with this stoichiometry in eV/f.u.: 0.03

***

[7]
VASP calculation (GGA-PBE) on a relaxed TmZr crystal.

```
TmZr
1.0
-3.478 -2.144 2.036
-3.974 -0.493 -2.191
-1.307 -4.124 -1.458
Tm Zr
1 1
direct
0.000 0.000 0.000 Tm
0.250 0.250 0.250 Zr
```

## Properties
SG: F-43m (216)
Energy above the lowest structure with this stoichiometry in eV/f.u.: 4.54

***

[8]
VASP calculation (GGA-PBE) on a relaxed TmZr crystal.

```
TmZr
1.0
8.812 -1.688 0.000
-0.003 6.737 0.000
0.000 0.000 5.322
Tm Zr
6 6
direct
0.681 0.170 0.000 Tm
0.327 0.328 0.000 Tm
0.327 0.836 0.000 Tm
0.562 0.394 0.500 Tm
0.208 0.552 0.500 Tm
0.562 0.886 0.500 Tm
0.988 0.504 0.000 Zr
0.686 0.672 0.000 Zr
0.996 0.994 0.000 Zr
0.203 0.050 0.500 Zr
0.900 0.219 0.500 Zr
0.893 0.729 0.500 Zr
```

## Properties
SG: P2_1/m (11)
Energy above the lowest structure with this stoichiometry in eV/f.u.: 0.03

***

[9]
VASP calculation (GGA-PBE) on a relaxed TmZr crystal.

```
TmZr
1.0
0.106 -2.759 3.260
0.361 1.440 4.006
-3.319 -0.273 2.675
Tm Zr
1 1
direct
0.000 0.000 0.000 Tm
0.500 0.500 0.500 Zr
```

## Properties
SG: Fm-3m (225)
Energy above the lowest structure with this stoichiometry in eV/f.u.: 1.93

***

[10]
VASP calculation (GGA-PBE) on a relaxed TmZr crystal.

```
TmZr
1.0
5.852 0.000 0.000
0.000 6.738 0.000
0.000 0.000 5.315
Tm Zr
4 4
direct
0.006 0.500 0.000 Tm
0.506 0.750 0.000 Tm
0.827 0.250 0.500 Tm
0.327 0.000 0.500 Tm
0.491 0.251 0.000 Zr
0.991 0.999 0.000 Zr
0.343 0.499 0.500 Zr
0.843 0.751 0.500 Zr
```

## Properties
SG: Pnma (62)
Energy above the lowest structure with this stoichiometry in eV/f.u.: 0.05

***

[11]
VASP calculation (GGA-PBE) on a relaxed TmZr2 crystal.

```
TmZr2
1.0
5.778 0.000 0.000
0.000 9.974 0.000
0.000 0.000 5.239
Tm Zr
4 8
direct
0.005 0.668 0.000 Tm
0.005 0.998 0.000 Tm
0.829 0.168 0.500 Tm
0.829 0.498 0.500 Tm
0.489 0.173 0.000 Zr
0.016 0.333 0.000 Zr
0.489 0.494 0.000 Zr
0.505 0.833 0.000 Zr
0.329 0.333 0.500 Zr
0.345 0.673 0.500 Zr
0.818 0.833 0.500 Zr
0.345 0.994 0.500 Zr
```

## Properties
SG: Pmmn (59)

***

[12]
VASP calculation (GGA-PBE) on a relaxed TmZr2 crystal.

```
TmZr2
1.0
-2.146 0.220 -17.194
-0.490 -3.277 0.019
-5.177 0.778 0.656
Tm Zr
4 8
direct
0.665 0.000 0.000 Tm
0.165 0.500 0.000 Tm
0.780 0.000 0.500 Tm
0.280 0.500 0.500 Tm
0.343 0.000 0.000 Zr
0.998 0.000 0.000 Zr
0.498 0.500 0.000 Zr
0.843 0.500 0.000 Zr
0.102 0.000 0.500 Zr
0.447 0.000 0.500 Zr
0.602 0.500 0.500 Zr
0.947 0.500 0.500 Zr
```

## Properties
SG: Cmcm (63)

***

Number 1: V 26.24 Å³/atom, energy of formation from the pure elements 0.048 eV/atom. Number 2: V 25.02 Å³/atom, energy of formation from the pure elements 0.092 eV/atom. Number 3: V 26.25 Å³/atom, energy of formation from the pure elements 0.040 eV/atom. Number 4: V 25.17 Å³/atom, energy of formation from the pure elements 0.031 eV/atom. Number 5: V 25.11 Å³/atom, energy of formation from the pure elements 0.038 eV/atom. Number 6: V 26.41 Å³/atom, energy of formation from the pure elements 0.033 eV/atom. Number 7: V 33.63 Å³/atom, energy of formation from the pure elements 2.289 eV/atom. Number 8: V 26.33 Å³/atom, energy of formation from the pure elements 0.034 eV/atom. Number 9: V 27.56 Å³/atom, energy of formation from the pure elements 0.987 eV/atom. Number 10: V 26.20 Å³/atom, energy of formation from the pure elements 0.043 eV/atom. Number 11: V 25.16 Å³/atom, energy of formation from the pure elements 0.027 eV/atom. Number 12: V 25.25 Å³/atom, energy of formation from the pure elements 0.023 eV/atom.